# 1
This record from Alexandria via LeMat-Bulk describes AsPbBrO2 after structural relaxation. The functional is PBE.

Calculated values
* electronic total energy: -5.10 eV per atom
* ρ: 5.9 g/cm³

Cell: 7.1861 4.1602 7.6607 Å, 90.00 103.74 90.00°
Space group P2_1/m (No. 11)
Symmetry-distinct sites (fractional):
As (0.0786, 0.2500, 0.3784) (multiplicity 2)
Pb (0.4456, 0.7500, 0.7011) (multiplicity 2)
Br (0.2872, 0.7500, 0.0839) (multiplicity 2)
O (0.0468, 0.7500, 0.4359) (multiplicity 2)
O (0.3293, 0.2500, 0.4952) (multiplicity 2)

***

# 2
This record from Alexandria via LeMat-Bulk describes CsKSnAu after structural relaxation. The functional is PBE.

Calculated values
* ρ: 4.5 g/cm³
* energy relative to the elements: -240 meV per atom

Cell: 4.9299 4.9299 25.5897 Å, 90.00 90.00 120.00°
Space group R3m (No. 160, hexagonal axes)
Symmetry-distinct sites (fractional):
Cs (0.0000, 0.0000, 0.0000) (multiplicity 3)
K (0.0000, 0.0000, 0.1800) (multiplicity 3)
Sn (0.0000, 0.0000, 0.4330) (multiplicity 3)
Au (0.0000, 0.0000, 0.7660) (multiplicity 3)

***

| no. | Fermi-level density of states (states/eV/f.u.) |
| --- | --- |
| 1 | 0.0 |
| 2 | 3.3 |